[1]
20
Lattice="4.4593 -5.7202 0.0000 4.4593 5.7202 0.0000 -1.6162 0.0000 7.7154" Properties=species:S:1:pos:R:3 comment="GGA-PBE LaTlTe2O6, optimized geometry" energy_ev_per_atom=-5.985 raw_formation_energy_ev_per_fu=-16.5 vol_a3_per_cell=393.61 pbc="T T T"
La 3.2471 4.8728 5.7866
La 4.0553 -4.8728 1.9289
Tl 4.0553 2.1978 1.9289
Tl 3.2471 -2.1978 5.7866
Te 1.5904 1.2650 5.1494
Te 2.3985 -1.2650 1.2917
Te 4.9039 1.2650 6.4237
Te 5.7120 -1.2650 2.5660
O 3.0112 4.4321 3.3412
O 1.6117 2.9953 5.9105
O 5.0994 4.4321 0.5165
O 0.9857 0.1851 6.5722
O 1.7938 -0.1851 2.7145
O 4.8826 2.9953 5.6627
O 2.4198 -2.9953 2.0528
O 5.5086 0.1851 5.0010
O 6.3167 -0.1851 1.1432
O 2.2030 -4.4321 7.1989
O 5.6908 -2.9953 1.8049
O 4.2913 -4.4321 4.3742


[2]
18
Lattice="1.8837 -6.0885 0.0000 1.8837 6.0885 0.0000 0.0000 0.0000 11.7562" Properties=species:S:1:pos:R:3 comment="GGA-PBE CaNi5Ge3, optimized geometry" formation_energy_kj_per_mol_atoms=-41.5 energy_ev_per_atom=-5.404 vol_a3_per_cell=269.66 pbc="T T T"
Ca 1.8837 4.0517 8.8171
Ca 1.8837 -4.0517 2.9390
Ni 0.0000 0.0000 0.0000
Ni 0.0000 0.0000 5.8781
Ni 1.8837 3.7383 0.7579
Ni 1.8837 3.7383 5.1201
Ni 1.8837 0.6491 7.5511
Ni 1.8837 0.6491 10.0831
Ni 1.8837 -0.6491 1.6730
Ni 1.8837 -0.6491 4.2050
Ni 1.8837 -3.7383 6.6360
Ni 1.8837 -3.7383 10.9982
Ge 1.8837 4.7895 2.9390
Ge 1.8837 1.4623 0.5505
Ge 1.8837 1.4623 5.3276
Ge 1.8837 -1.4623 6.4285
Ge 1.8837 -1.4623 11.2057
Ge 1.8837 -4.7895 8.8171


> Which formula does entry 2 have?

CaNi5Ge3